Computed, not measured: a relaxed La3V5O12 crystal at the PBE+U level of DFT.

a = 12.963 Å, b = 12.963 Å, c = 12.963 Å
α = 90.00°, β = 90.00°, γ = 90.00°
Space group Ia-3d (No. 230)
Asymmetric unit:
La 0.000 0.250 0.125 x24
V 0.000 0.000 0.000 x16
V 0.000 0.250 0.375 x24
O 0.029 0.052 0.651 x96

Output
Its calculated density is 5.27 Mg/m³. The electronic total energy is -0.5971 Ry/atom. For the density of states at the Fermi level, the calculation gives 45.02 states/eV per cell. The magnetization comes out at 0.50 μB/atom.